SmDyB: optimized geometry, PBE-GGA.

Unit cell a=4.5726 b=4.5726 c=4.5726 alpha=60.00 beta=60.00 gamma=60.00
With the nearest neighbours (Å) after each atom.
Fractional coordinates of all 3 atoms:
Sm: 0.0000 0.0000 0.0000  4 B 2.80
Dy: 0.5000 0.5000 0.5000  4 B 2.80
B: 0.7500 0.7500 0.7500  4 Dy 2.80, 4 Sm 2.80

Properties
The volume is 68 Å³/f.u. The calculation puts the magnetization at 0.04 μB/cell.


DySnB: optimized geometry, PBE-GGA.

Unit cell a=4.6560 b=4.6560 c=4.6560 alpha=60.00 beta=60.00 gamma=60.00
With the nearest neighbours (Å) after each atom.
Fractional coordinates of all 3 atoms:
Dy: 0.0000 0.0000 0.0000  4 Sn 2.85
Sn: 0.7500 0.7500 0.7500  4 B 2.85, 4 Dy 2.85
B: 0.5000 0.5000 0.5000  4 Sn 2.85

Properties
The volume is 71 Å³/f.u. The calculation puts the magnetization at 0.00 μB/cell.


DySnB: optimized geometry, PBE-GGA.

Unit cell a=4.3780 b=4.3780 c=4.3780 alpha=60.00 beta=60.00 gamma=60.00
With the nearest neighbours (Å) after each atom.
Fractional coordinates of all 3 atoms:
Dy: 0.0000 0.0000 0.0000  4 B 2.68
Sn: 0.5000 0.5000 0.5000  4 B 2.68
B: 0.2500 0.2500 0.2500  4 Dy 2.68, 4 Sn 2.68

Properties
The volume is 59 Å³/f.u. The calculation puts the magnetization at 0.00 μB/cell.


DySnB: optimized geometry, PBE-GGA.

Unit cell a=4.6904 b=4.6904 c=4.6904 alpha=60.00 beta=60.00 gamma=60.00
With the nearest neighbours (Å) after each atom.
Fractional coordinates of all 3 atoms:
Dy: 0.0000 0.0000 0.0000  4 B 2.87, 4 Sn 2.87
Sn: 0.2500 0.2500 0.2500  4 Dy 2.87
B: 0.7500 0.7500 0.7500  4 Dy 2.87

Properties
The volume is 73 Å³/f.u. The calculation puts the magnetization at 0.00 μB/cell.


no.,total DFT energy (no corrections) (eV/cell)
1,-15.6
2,-12.4
3,-14.9
4,-12.9